[1]
PbSeN2Cl after structural relaxation, computed with GGA-PBE. Values from VASP.

total moment	2.4	μB/cell
volume	94	Å³ per cell
formation energy (no corrections)	176.76	kJ/mol of atoms
offset from the most stable computed form	0.145	eV per atom

Geometry as Quantum ESPRESSO input:
```
&SYSTEM
  ibrav = 0, nat = 5, ntyp = 4
/
ATOMIC_SPECIES
Pb 207.20 Pb.upf
N 14.01 N.upf
Se 78.96 Se.upf
Cl 35.45 Cl.upf
ATOMIC_POSITIONS angstrom
Pb 1.5796 -3.2737 -1.5732
N -0.2485 -0.5313 -2.0600
N -0.6027 -1.9714 0.5811
Se 2.4309 -0.7710 -0.0944
Cl 0.0000 0.0000 0.0000
CELL_PARAMETERS angstrom
-1.2054 -3.9428 1.1623
-0.4970 -1.0625 -4.1199
4.8617 -1.5420 -0.1888
```

---

[2]
Sr6Pb2NCl after structural relaxation, computed with GGA-PBE. Values from VASP.

total moment	0.0	μB/cell
volume	329	Å³ per cell
formation energy (no corrections)	-84.91	kJ/mol of atoms

Geometry as Quantum ESPRESSO input:
```
&SYSTEM
  ibrav = 0, nat = 10, ntyp = 4
/
ATOMIC_SPECIES
Sr 87.62 Sr.upf
Pb 207.20 Pb.upf
N 14.01 N.upf
Cl 35.45 Cl.upf
ATOMIC_POSITIONS angstrom
Sr 7.7477 6.8653 4.8545
Sr 5.6760 5.6692 1.4714
Sr 5.6760 3.2770 4.8545
Sr 9.8194 5.6692 1.4714
Sr 7.7477 2.0809 1.4714
Sr 9.8194 3.2770 4.8545
Pb 11.6215 6.7097 4.7445
Pb 3.8738 2.2366 1.5815
N 0.0000 0.0000 0.0000
Cl 7.7477 4.4731 3.1630
CELL_PARAMETERS angstrom
7.7477 0.0000 0.0000
3.8738 6.7097 0.0000
3.8738 2.2366 6.3260
```

---

[3]
Sr2PbNCl after structural relaxation, computed with GGA-PBE. Values from VASP.

total moment	0.6	μB/cell
volume	181	Å³ per cell
formation energy (no corrections)	5.30	kJ/mol of atoms

Geometry as Quantum ESPRESSO input:
```
&SYSTEM
  ibrav = 0, nat = 5, ntyp = 4
/
ATOMIC_SPECIES
Pb 207.20 Pb.upf
Sr 87.62 Sr.upf
N 14.01 N.upf
Cl 35.45 Cl.upf
ATOMIC_POSITIONS angstrom
Pb 0.0000 0.0000 0.0000
Sr 0.0000 0.0000 3.1527
Sr 3.1527 0.0000 0.0000
N 0.0000 2.2765 0.0000
Cl 3.1527 2.2765 3.1527
CELL_PARAMETERS angstrom
6.3054 0.0000 0.0000
0.0000 4.5530 0.0000
0.0000 0.0000 6.3054
```

---

[4]
TePbN2Cl after structural relaxation, computed with GGA-PBE. Values from VASP.

total moment	3.0	μB/cell
volume	126	Å³ per cell
formation energy (no corrections)	151.98	kJ/mol of atoms
offset from the most stable computed form	0.000	eV per atom

Geometry as Quantum ESPRESSO input:
```
&SYSTEM
  ibrav = 0, nat = 5, ntyp = 4
/
ATOMIC_SPECIES
Pb 207.20 Pb.upf
N 14.01 N.upf
Te 127.60 Te.upf
Cl 35.45 Cl.upf
ATOMIC_POSITIONS angstrom
Pb 0.0000 0.0000 0.0000
N 0.7563 -1.8278 0.9518
N -1.6772 -1.1351 -0.8469
Te -1.7796 0.6472 2.6568
Cl -2.7005 -2.3157 2.7617
CELL_PARAMETERS angstrom
-3.3544 -2.2701 -1.6939
1.5126 -3.6556 1.9037
-3.5592 1.2944 5.3136
```

---

[5]
Te2PbNCl after structural relaxation, computed with GGA-PBE. Values from VASP.

total moment	0.0	μB/cell
volume	145	Å³ per cell
formation energy (no corrections)	100.32	kJ/mol of atoms
offset from the most stable computed form	0.000	eV per atom

Geometry as Quantum ESPRESSO input:
```
&SYSTEM
  ibrav = 0, nat = 5, ntyp = 4
/
ATOMIC_SPECIES
Pb 207.20 Pb.upf
N 14.01 N.upf
Te 127.60 Te.upf
Cl 35.45 Cl.upf
ATOMIC_POSITIONS angstrom
Pb 3.2846 3.2846 1.6843
N 0.0000 0.0000 1.6843
Te 0.0000 3.2846 0.0000
Te 3.2846 0.0000 0.0000
Cl 0.0000 0.0000 0.0000
CELL_PARAMETERS angstrom
6.5691 0.0000 0.0000
0.0000 6.5691 0.0000
0.0000 0.0000 3.3685
```

---

[6]
TePbN2Cl after structural relaxation, computed with GGA-PBE. Values from VASP.

total moment	2.4	μB/cell
volume	106	Å³ per cell
formation energy (no corrections)	185.81	kJ/mol of atoms
offset from the most stable computed form	0.351	eV per atom

Geometry as Quantum ESPRESSO input:
```
&SYSTEM
  ibrav = 0, nat = 5, ntyp = 4
/
ATOMIC_SPECIES
Pb 207.20 Pb.upf
N 14.01 N.upf
Te 127.60 Te.upf
Cl 35.45 Cl.upf
ATOMIC_POSITIONS angstrom
Pb 2.2075 2.2075 2.7182
N 0.0000 2.2075 0.0000
N 2.2075 0.0000 0.0000
Te 0.0000 0.0000 2.7182
Cl 0.0000 0.0000 0.0000
CELL_PARAMETERS angstrom
4.4151 0.0000 0.0000
0.0000 4.4151 0.0000
0.0000 0.0000 5.4365
```

---

[7]
Te2PbNCl after structural relaxation, computed with GGA-PBE. Values from VASP.

total moment	4.6	μB/cell
volume	165	Å³ per cell
formation energy (no corrections)	108.50	kJ/mol of atoms
offset from the most stable computed form	0.085	eV per atom

Geometry as Quantum ESPRESSO input:
```
&SYSTEM
  ibrav = 0, nat = 5, ntyp = 4
/
ATOMIC_SPECIES
Pb 207.20 Pb.upf
N 14.01 N.upf
Te 127.60 Te.upf
Cl 35.45 Cl.upf
ATOMIC_POSITIONS angstrom
Pb 0.0000 0.0000 0.0000
N 1.4875 0.9933 1.2740
Te 2.1092 -2.0477 -0.8662
Te -0.7961 -1.8103 2.3411
Cl 2.8006 -2.8647 2.7489
CELL_PARAMETERS angstrom
-1.5922 -3.6207 4.6822
4.2184 -4.0953 -1.7324
2.9750 1.9866 2.5479
```

---

[8]
TlPbN2Cl after structural relaxation, computed with GGA-PBE. Values from VASP.

total moment	2.4	μB/cell
volume	126	Å³ per cell
formation energy (no corrections)	137.66	kJ/mol of atoms
offset from the most stable computed form	0.389	eV per atom

Geometry as Quantum ESPRESSO input:
```
&SYSTEM
  ibrav = 0, nat = 5, ntyp = 4
/
ATOMIC_SPECIES
Pb 207.20 Pb.upf
Tl 204.38 Tl.upf
N 14.01 N.upf
Cl 35.45 Cl.upf
ATOMIC_POSITIONS angstrom
Pb 0.0000 3.2802 0.0000
Tl 0.0000 0.0000 0.0000
N 0.0000 0.0000 2.1953
N 2.1953 0.0000 0.0000
Cl 2.1953 3.2802 2.1953
CELL_PARAMETERS angstrom
4.3907 0.0000 0.0000
0.0000 6.5605 0.0000
0.0000 0.0000 4.3907
```